# TiCo3H PBE optimized geometry
# - D(E_F): 0.75 states/eV per atom
# - Magnetization: 0.0 μB/f.u.
# - Polymorph energy (0 for the lowest one): 12 meV/atom
# - V: 190.1 Å³ per cell
data_TiCo3H
_chemical_formula_sum 'Ti4 Co12 H4'
_symmetry_space_group_name_H-M 'I m m m'
_symmetry_Int_Tables_number 71
_symmetry_space_group_name_Hall '-I 2 2'
_cell_length_a 5.073
_cell_length_b 5.077
_cell_length_c 7.382
_cell_angle_alpha 90.00
_cell_angle_beta 90.00
_cell_angle_gamma 90.00
loop_
_atom_site_label
_atom_site_type_symbol
_atom_site_fract_x
_atom_site_fract_y
_atom_site_fract_z
Ti1 Ti 0.000 0.000 0.234
Co1 Co 0.000 0.500 0.253
Co2 Co 0.246 0.252 0.500
H1 H 0.000 0.000 0.500
H2 H 0.000 0.500 0.000

# SiOs2Cl PBE optimized geometry
# - D(E_F): 0.92 states/eV per atom
# - Magnetization: 0.0 μB/f.u.
# - Polymorph energy (0 for the lowest one): 569 meV/atom
# - V: 119.1 Å³ per cell
data_SiOs2Cl
_chemical_formula_sum 'Si2 Os4 Cl2'
_symmetry_space_group_name_H-M 'I -4 m 2'
_symmetry_Int_Tables_number 119
_symmetry_space_group_name_Hall 'I -4 -2'
_cell_length_a 4.901
_cell_length_b 4.901
_cell_length_c 4.959
_cell_angle_alpha 90.00
_cell_angle_beta 90.00
_cell_angle_gamma 90.00
loop_
_atom_site_label
_atom_site_type_symbol
_atom_site_fract_x
_atom_site_fract_y
_atom_site_fract_z
Si1 Si 0.000 0.000 0.000
Os1 Os 0.000 0.000 0.500
Os2 Os 0.000 0.500 0.750
Cl1 Cl 0.000 0.500 0.250

# DyCdAgSn PBE optimized geometry
# - Energy of formation from the pure elements: -0.290 eV/atom
# - D(E_F): 0.28 states/eV per atom
# - Magnetization: 0.0 μB/f.u.
# - Polymorph energy (0 for the lowest one): 82 meV/atom
# - V: 373.0 Å³ per cell
data_DyCdAgSn
_chemical_formula_sum 'Dy4 Cd4 Ag4 Sn4'
_symmetry_space_group_name_H-M 'F -4 3 m'
_symmetry_Int_Tables_number 216
_symmetry_space_group_name_Hall 'F -4 2 3'
_cell_length_a 7.198
_cell_length_b 7.198
_cell_length_c 7.198
_cell_angle_alpha 90.00
_cell_angle_beta 90.00
_cell_angle_gamma 90.00
loop_
_atom_site_label
_atom_site_type_symbol
_atom_site_fract_x
_atom_site_fract_y
_atom_site_fract_z
Dy1 Dy 0.000 0.000 0.000
Cd1 Cd 0.000 0.000 0.500
Ag1 Ag 0.250 0.250 0.250
Sn1 Sn 0.250 0.250 0.750

- D(E_F) of number 1 (TiCo3H)?
  0.75 states/eV per atom

Copy entry 2 word for word.
# SiOs2Cl PBE optimized geometry
# - D(E_F): 0.92 states/eV per atom
# - Magnetization: 0.0 μB/f.u.
# - Polymorph energy (0 for the lowest one): 569 meV/atom
# - V: 119.1 Å³ per cell
data_SiOs2Cl
_chemical_formula_sum 'Si2 Os4 Cl2'
_symmetry_space_group_name_H-M 'I -4 m 2'
_symmetry_Int_Tables_number 119
_symmetry_space_group_name_Hall 'I -4 -2'
_cell_length_a 4.901
_cell_length_b 4.901
_cell_length_c 4.959
_cell_angle_alpha 90.00
_cell_angle_beta 90.00
_cell_angle_gamma 90.00
loop_
_atom_site_label
_atom_site_type_symbol
_atom_site_fract_x
_atom_site_fract_y
_atom_site_fract_z
Si1 Si 0.000 0.000 0.000
Os1 Os 0.000 0.000 0.500
Os2 Os 0.000 0.500 0.750
Cl1 Cl 0.000 0.500 0.250

- Which value of D(E_F) does entry 1 give?
  0.75 states/eV per atom

Please write out number 2 again, unchanged.
# SiOs2Cl PBE optimized geometry
# - D(E_F): 0.92 states/eV per atom
# - Magnetization: 0.0 μB/f.u.
# - Polymorph energy (0 for the lowest one): 569 meV/atom
# - V: 119.1 Å³ per cell
data_SiOs2Cl
_chemical_formula_sum 'Si2 Os4 Cl2'
_symmetry_space_group_name_H-M 'I -4 m 2'
_symmetry_Int_Tables_number 119
_symmetry_space_group_name_Hall 'I -4 -2'
_cell_length_a 4.901
_cell_length_b 4.901
_cell_length_c 4.959
_cell_angle_alpha 90.00
_cell_angle_beta 90.00
_cell_angle_gamma 90.00
loop_
_atom_site_label
_atom_site_type_symbol
_atom_site_fract_x
_atom_site_fract_y
_atom_site_fract_z
Si1 Si 0.000 0.000 0.000
Os1 Os 0.000 0.000 0.500
Os2 Os 0.000 0.500 0.750
Cl1 Cl 0.000 0.500 0.250